Entry 1:
VASP calculation (PBE) on a relaxed SrB2 crystal.

```
data_SrB2
_chemical_formula_sum 'Sr1 B2'
_symmetry_space_group_name_H-M 'P 1'
_symmetry_Int_Tables_number 1
_cell_length_a 3.171
_cell_length_b 4.015
_cell_length_c 4.266
_cell_angle_alpha 86.68
_cell_angle_beta 68.29
_cell_angle_gamma 81.04
loop_
_symmetry_equiv_pos_as_xyz
'x,y,z'
loop_
_atom_site_label
_atom_site_type_symbol
_atom_site_fract_x
_atom_site_fract_y
_atom_site_fract_z
Sr1 Sr 0.000 0.000 0.000
B1 B 0.261 0.500 0.477
B2 B 0.739 0.500 0.523
```

Computed properties:
Space group = P-1 (2)
Size of the total moment = 0.0 μB per cell
Polymorph energy (0 for the lowest one) = 0.007 eV per atom
Formation energy from the elements = -0.097 eV per atom
D(E_F) = 0.227 states/eV/atom



Entry 2:
VASP calculation (PBE) on a relaxed Sr3TaB crystal.

```
data_Sr3TaB
_chemical_formula_sum 'Sr3 Ta1 B1'
_symmetry_space_group_name_H-M 'P 1'
_symmetry_Int_Tables_number 1
_cell_length_a 5.599
_cell_length_b 5.599
_cell_length_c 5.599
_cell_angle_alpha 90.00
_cell_angle_beta 90.00
_cell_angle_gamma 90.00
loop_
_symmetry_equiv_pos_as_xyz
'x,y,z'
loop_
_atom_site_label
_atom_site_type_symbol
_atom_site_fract_x
_atom_site_fract_y
_atom_site_fract_z
Sr1 Sr 0.000 0.000 0.500
Sr2 Sr 0.000 0.500 0.000
Sr3 Sr 0.500 0.000 0.000
Ta1 Ta 0.500 0.500 0.500
B1 B 0.000 0.000 0.000
```

Computed properties:
Space group = Pm-3m (221)
Size of the total moment = 3.8 μB per cell
Polymorph energy (0 for the lowest one) = 0.000 eV per atom
Formation energy from the elements = 1.161 eV per atom
D(E_F) = 0.792 states/eV/atom



Entry 3:
VASP calculation (PBE) on a relaxed SrTa3B crystal.

```
data_SrTa3B
_chemical_formula_sum 'Sr1 Ta3 B1'
_symmetry_space_group_name_H-M 'P 1'
_symmetry_Int_Tables_number 1
_cell_length_a 4.828
_cell_length_b 4.828
_cell_length_c 4.828
_cell_angle_alpha 90.00
_cell_angle_beta 90.00
_cell_angle_gamma 90.00
loop_
_symmetry_equiv_pos_as_xyz
'x,y,z'
loop_
_atom_site_label
_atom_site_type_symbol
_atom_site_fract_x
_atom_site_fract_y
_atom_site_fract_z
Sr1 Sr 0.000 0.000 0.000
Ta1 Ta 0.000 0.000 0.500
Ta2 Ta 0.000 0.500 0.000
Ta3 Ta 0.500 0.000 0.000
B1 B 0.500 0.500 0.500
```

Computed properties:
Space group = Pm-3m (221)
Size of the total moment = 0.0 μB per cell
Polymorph energy (0 for the lowest one) = 3.141 eV per atom
Formation energy from the elements = 3.794 eV per atom
D(E_F) = 0.948 states/eV/atom



Entry 4:
VASP calculation (PBE) on a relaxed Sr3TaB crystal.

```
data_Sr3TaB
_chemical_formula_sum 'Sr3 Ta1 B1'
_symmetry_space_group_name_H-M 'P 1'
_symmetry_Int_Tables_number 1
_cell_length_a 5.863
_cell_length_b 5.863
_cell_length_c 5.863
_cell_angle_alpha 90.00
_cell_angle_beta 90.00
_cell_angle_gamma 90.00
loop_
_symmetry_equiv_pos_as_xyz
'x,y,z'
loop_
_atom_site_label
_atom_site_type_symbol
_atom_site_fract_x
_atom_site_fract_y
_atom_site_fract_z
Sr1 Sr 0.000 0.000 0.500
Sr2 Sr 0.000 0.500 0.000
Sr3 Sr 0.500 0.000 0.000
Ta1 Ta 0.000 0.000 0.000
B1 B 0.500 0.500 0.500
```

Computed properties:
Space group = Pm-3m (221)
Size of the total moment = 0.0 μB per cell
Polymorph energy (0 for the lowest one) = 0.712 eV per atom
Formation energy from the elements = 1.873 eV per atom
D(E_F) = 1.584 states/eV/atom



Entry 5:
VASP calculation (PBE) on a relaxed SrTa2B crystal.

```
data_SrTa2B
_chemical_formula_sum 'Sr2 Ta4 B2'
_symmetry_space_group_name_H-M 'P 1'
_symmetry_Int_Tables_number 1
_cell_length_a 6.684
_cell_length_b 6.684
_cell_length_c 6.684
_cell_angle_alpha 60.00
_cell_angle_beta 60.00
_cell_angle_gamma 60.00
loop_
_symmetry_equiv_pos_as_xyz
'x,y,z'
loop_
_atom_site_label
_atom_site_type_symbol
_atom_site_fract_x
_atom_site_fract_y
_atom_site_fract_z
Sr1 Sr 0.125 0.125 0.125
Sr2 Sr 0.875 0.875 0.875
Ta1 Ta 0.000 0.500 0.500
Ta2 Ta 0.500 0.000 0.500
Ta3 Ta 0.500 0.500 0.000
Ta4 Ta 0.500 0.500 0.500
B1 B 0.375 0.375 0.375
B2 B 0.625 0.625 0.625
```

Computed properties:
Space group = Fd-3m (227)
Size of the total moment = 0.0 μB per cell
Formation energy from the elements = 0.989 eV per atom
D(E_F) = 1.623 states/eV/atom



Entry 6:
VASP calculation (PBE) on a relaxed SrTa3B crystal.

```
data_SrTa3B
_chemical_formula_sum 'Sr1 Ta3 B1'
_symmetry_space_group_name_H-M 'P 1'
_symmetry_Int_Tables_number 1
_cell_length_a 4.601
_cell_length_b 4.601
_cell_length_c 4.601
_cell_angle_alpha 90.00
_cell_angle_beta 90.00
_cell_angle_gamma 90.00
loop_
_symmetry_equiv_pos_as_xyz
'x,y,z'
loop_
_atom_site_label
_atom_site_type_symbol
_atom_site_fract_x
_atom_site_fract_y
_atom_site_fract_z
Sr1 Sr 0.000 0.000 0.000
Ta1 Ta 0.000 0.500 0.500
Ta2 Ta 0.500 0.000 0.500
Ta3 Ta 0.500 0.500 0.000
B1 B 0.500 0.500 0.500
```

Computed properties:
Space group = Pm-3m (221)
Size of the total moment = 0.0 μB per cell
Polymorph energy (0 for the lowest one) = 0.000 eV per atom
Formation energy from the elements = 0.653 eV per atom
D(E_F) = 1.208 states/eV/atom



Entry 7:
VASP calculation (PBE) on a relaxed SrTaTi2B crystal.

```
data_SrTaTi2B
_chemical_formula_sum 'Sr1 Ta1 Ti2 B1'
_symmetry_space_group_name_H-M 'P 1'
_symmetry_Int_Tables_number 1
_cell_length_a 4.903
_cell_length_b 4.903
_cell_length_c 4.666
_cell_angle_alpha 90.00
_cell_angle_beta 90.00
_cell_angle_gamma 90.00
loop_
_symmetry_equiv_pos_as_xyz
'x,y,z'
loop_
_atom_site_label
_atom_site_type_symbol
_atom_site_fract_x
_atom_site_fract_y
_atom_site_fract_z
Sr1 Sr 0.000 0.000 0.000
Ta1 Ta 0.500 0.500 0.500
Ti1 Ti 0.000 0.500 0.500
Ti2 Ti 0.500 0.000 0.500
B1 B 0.500 0.500 0.000
```

Computed properties:
Space group = P4/mmm (123)
Size of the total moment = 0.0 μB per cell
Formation energy from the elements = 0.961 eV per atom
D(E_F) = 1.407 states/eV/atom



Entry 8:
VASP calculation (PBE) on a relaxed SrYTaB2 crystal.

```
data_SrYTaB2
_chemical_formula_sum 'Sr1 Y1 Ta1 B2'
_symmetry_space_group_name_H-M 'P 1'
_symmetry_Int_Tables_number 1
_cell_length_a 4.877
_cell_length_b 4.877
_cell_length_c 5.087
_cell_angle_alpha 90.00
_cell_angle_beta 90.00
_cell_angle_gamma 90.00
loop_
_symmetry_equiv_pos_as_xyz
'x,y,z'
loop_
_atom_site_label
_atom_site_type_symbol
_atom_site_fract_x
_atom_site_fract_y
_atom_site_fract_z
Sr1 Sr 0.000 0.000 0.000
Y1 Y 0.500 0.500 0.500
Ta1 Ta 0.500 0.500 0.000
B1 B 0.000 0.500 0.500
B2 B 0.500 0.000 0.500
```

Computed properties:
Space group = P4/mmm (123)
Size of the total moment = 0.0 μB per cell
Formation energy from the elements = 1.856 eV per atom
D(E_F) = 0.923 states/eV/atom